*w*
The following is a DFT calculation (PBE-GGA) of a relaxed YB crystal. Values from VASP.

## Properties
Total magnetic moment, μB/f.u.: 0.000

Geometry as Quantum ESPRESSO input:
```
&SYSTEM
  ibrav = 0, nat = 8, ntyp = 2
/
ATOMIC_SPECIES
Y 88.91 Y.upf
B 10.81 B.upf
CELL_PARAMETERS angstrom
5.2269 0.0000 0.0000
0.0000 5.2269 0.0000
0.0000 0.0000 5.3637
ATOMIC_POSITIONS crystal
Y 0.2141 0.2141 0.0000
Y 0.2859 0.7141 0.5000
Y 0.7141 0.2859 0.5000
Y 0.7859 0.7859 0.0000
B 0.1793 0.1793 0.5000
B 0.3207 0.6793 0.0000
B 0.6793 0.3207 0.0000
B 0.8207 0.8207 0.5000
```

=====

*x*
The following is a DFT calculation (PBE-GGA) of a relaxed YB crystal. Values from VASP.

## Properties
Total magnetic moment, μB/f.u.: 0.000

Geometry as Quantum ESPRESSO input:
```
&SYSTEM
  ibrav = 0, nat = 4, ntyp = 2
/
ATOMIC_SPECIES
Y 88.91 Y.upf
B 10.81 B.upf
CELL_PARAMETERS angstrom
3.6786 0.0000 0.0000
0.0382 3.9922 0.0000
1.8139 0.5582 4.7188
ATOMIC_POSITIONS crystal
Y 0.1412 0.2225 0.2227
Y 0.8588 0.7775 0.7773
B 0.4328 0.3565 0.6385
B 0.5672 0.6435 0.3615
```

=====

*y*
The following is a DFT calculation (PBE-GGA) of a relaxed YB crystal. Values from VASP.

## Properties
Total magnetic moment, μB/f.u.: 0.000

Geometry as Quantum ESPRESSO input:
```
&SYSTEM
  ibrav = 0, nat = 4, ntyp = 2
/
ATOMIC_SPECIES
Y 88.91 Y.upf
B 10.81 B.upf
CELL_PARAMETERS angstrom
3.7812 -2.1882 0.0000
3.7812 2.1882 0.0000
-2.5014 0.0000 4.7146
ATOMIC_POSITIONS crystal
Y 0.2490 0.2490 0.2469
Y 0.7510 0.7510 0.7531
B 0.0566 0.0566 0.6680
B 0.9434 0.9434 0.3320
```

=====

*z*
The following is a DFT calculation (PBE-GGA) of a relaxed YB crystal. Values from VASP.

## Properties
Total magnetic moment, μB/f.u.: 0.000

Geometry as Quantum ESPRESSO input:
```
&SYSTEM
  ibrav = 0, nat = 12, ntyp = 2
/
ATOMIC_SPECIES
Y 88.91 Y.upf
B 10.81 B.upf
CELL_PARAMETERS angstrom
7.0308 0.0000 0.0000
0.0000 7.0308 0.0000
0.0000 0.0000 7.0308
ATOMIC_POSITIONS crystal
Y 0.0000 0.2500 0.5000
Y 0.0000 0.7500 0.5000
Y 0.2500 0.5000 0.0000
Y 0.5000 0.0000 0.2500
Y 0.5000 0.0000 0.7500
Y 0.7500 0.5000 0.0000
B 0.0000 0.5000 0.2500
B 0.0000 0.5000 0.7500
B 0.2500 0.0000 0.5000
B 0.5000 0.2500 0.0000
B 0.5000 0.7500 0.0000
B 0.7500 0.0000 0.5000
```

=====

Decreasing stability: *y*, *x*, *w*, *z*

=====

*w*
The following is a DFT calculation (PBE-GGA) of a relaxed YB crystal. Values from VASP.

## Properties
Total magnetic moment, μB/f.u.: 0.000

Geometry as Quantum ESPRESSO input:
```
&SYSTEM
  ibrav = 0, nat = 6, ntyp = 2
/
ATOMIC_SPECIES
Y 88.91 Y.upf
B 10.81 B.upf
CELL_PARAMETERS angstrom
1.6758 -8.3846 0.0000
1.6758 8.3846 0.0000
0.0000 0.0000 3.8644
ATOMIC_POSITIONS crystal
Y 0.0000 0.0000 0.0000
Y 0.3416 0.6584 0.5000
Y 0.6584 0.3416 0.5000
B 0.2302 0.7698 0.0000
B 0.5000 0.5000 0.5000
B 0.7698 0.2302 0.0000
```

=====

*x*
The following is a DFT calculation (PBE-GGA) of a relaxed YB crystal. Values from VASP.

## Properties
Total magnetic moment, μB/f.u.: 0.000

Geometry as Quantum ESPRESSO input:
```
&SYSTEM
  ibrav = 0, nat = 8, ntyp = 2
/
ATOMIC_SPECIES
Y 88.91 Y.upf
B 10.81 B.upf
CELL_PARAMETERS angstrom
-4.8467 4.8467 1.6280
4.8467 -4.8467 1.6280
4.8467 4.8467 -1.6280
ATOMIC_POSITIONS crystal
Y 0.0000 0.2605 0.2605
Y 0.0000 0.7395 0.7395
Y 0.2605 0.0000 0.2605
Y 0.7395 0.0000 0.7395
B 0.2698 0.2698 0.5396
B 0.2698 0.7302 0.0000
B 0.7302 0.2698 0.0000
B 0.7302 0.7302 0.4604
```

=====

*y*
The following is a DFT calculation (PBE-GGA) of a relaxed YB crystal. Values from VASP.

## Properties
Total magnetic moment, μB/f.u.: 0.000

Geometry as Quantum ESPRESSO input:
```
&SYSTEM
  ibrav = 0, nat = 4, ntyp = 2
/
ATOMIC_SPECIES
Y 88.91 Y.upf
B 10.81 B.upf
CELL_PARAMETERS angstrom
-1.6111 3.4354 3.3925
1.6111 -3.4354 3.3925
1.6111 3.4354 -3.3925
ATOMIC_POSITIONS crystal
Y 0.0000 0.0000 0.0000
Y 0.5000 0.0000 0.5000
B 0.4565 0.7065 0.7500
B 0.5435 0.2935 0.2500
```

=====

*z*
The following is a DFT calculation (PBE-GGA) of a relaxed YB crystal. Values from VASP.

## Properties
Total magnetic moment, μB/f.u.: 0.001

Geometry as Quantum ESPRESSO input:
```
&SYSTEM
  ibrav = 0, nat = 6, ntyp = 2
/
ATOMIC_SPECIES
Y 88.91 Y.upf
B 10.81 B.upf
CELL_PARAMETERS angstrom
-2.0881 5.3180 2.6302
2.0881 -5.3180 2.6302
2.0881 5.3180 -2.6302
ATOMIC_POSITIONS crystal
Y 0.0000 0.0000 0.0000
Y 0.4182 0.1060 0.3122
Y 0.7938 0.1060 0.6878
B 0.2621 0.6223 0.6398
B 0.2822 0.7822 0.5000
B 0.9825 0.6223 0.3602
```

=====

Decreasing stability: *y*, *x*, *w*, *z*

=====

*w*
The following is a DFT calculation (PBE-GGA) of a relaxed YB crystal. Values from VASP.

## Properties
Total magnetic moment, μB/f.u.: 1.415

Geometry as Quantum ESPRESSO input:
```
&SYSTEM
  ibrav = 0, nat = 4, ntyp = 2
/
ATOMIC_SPECIES
Y 88.91 Y.upf
B 10.81 B.upf
CELL_PARAMETERS angstrom
4.4873 0.0000 0.0000
-2.2436 3.8861 0.0000
0.0000 0.0000 5.2808
ATOMIC_POSITIONS crystal
Y 0.3333 0.6667 0.2500
Y 0.6667 0.3333 0.7500
B 0.3333 0.6667 0.7500
B 0.6667 0.3333 0.2500
```

=====

*x*
The following is a DFT calculation (PBE-GGA) of a relaxed YB crystal. Values from VASP.

## Properties
Total magnetic moment, μB/f.u.: 0.000

Geometry as Quantum ESPRESSO input:
```
&SYSTEM
  ibrav = 0, nat = 16, ntyp = 2
/
ATOMIC_SPECIES
Y 88.91 Y.upf
B 10.81 B.upf
CELL_PARAMETERS angstrom
9.4985 0.0000 0.0000
0.0000 9.4985 0.0000
0.0000 0.0000 3.2628
ATOMIC_POSITIONS crystal
Y 0.0000 0.2891 0.0000
Y 0.0000 0.7109 0.0000
Y 0.2891 0.0000 0.0000
Y 0.3301 0.3301 0.5000
Y 0.3301 0.6699 0.5000
Y 0.6699 0.3301 0.5000
Y 0.6699 0.6699 0.5000
Y 0.7109 0.0000 0.0000
B 0.0959 0.5000 0.5000
B 0.1772 0.5000 0.0000
B 0.5000 0.0959 0.5000
B 0.5000 0.1772 0.0000
B 0.5000 0.8228 0.0000
B 0.5000 0.9041 0.5000
B 0.8228 0.5000 0.0000
B 0.9041 0.5000 0.5000
```

=====

*y*
The following is a DFT calculation (PBE-GGA) of a relaxed YB crystal. Values from VASP.

## Properties
Total magnetic moment, μB/f.u.: 0.000

Geometry as Quantum ESPRESSO input:
```
&SYSTEM
  ibrav = 0, nat = 12, ntyp = 2
/
ATOMIC_SPECIES
Y 88.91 Y.upf
B 10.81 B.upf
CELL_PARAMETERS angstrom
9.3276 0.0000 0.0000
-4.6638 8.0780 0.0000
0.0000 0.0000 3.2427
ATOMIC_POSITIONS crystal
Y 0.2042 0.7951 0.2500
Y 0.2049 0.4092 0.2500
Y 0.4092 0.2042 0.7500
Y 0.5908 0.7958 0.2500
Y 0.7951 0.5908 0.7500
Y 0.7958 0.2049 0.7500
B 0.0328 0.5173 0.7500
B 0.4827 0.5155 0.7500
B 0.4845 0.9672 0.7500
B 0.5155 0.0328 0.2500
B 0.5173 0.4845 0.2500
B 0.9672 0.4827 0.2500
```

=====

Decreasing stability: *x*, *y*, *w*

=====

*w*
The following is a DFT calculation (PBE-GGA) of a relaxed YB crystal. Values from VASP.

## Properties
Total magnetic moment, μB/f.u.: 0.001

Geometry as Quantum ESPRESSO input:
```
&SYSTEM
  ibrav = 0, nat = 2, ntyp = 2
/
ATOMIC_SPECIES
Y 88.91 Y.upf
B 10.81 B.upf
CELL_PARAMETERS angstrom
0.0000 2.8776 2.8776
2.8776 0.0000 2.8776
2.8776 2.8776 0.0000
ATOMIC_POSITIONS crystal
Y 0.0000 0.0000 0.0000
B 0.2500 0.2500 0.2500
```

=====

*x*
The following is a DFT calculation (PBE-GGA) of a relaxed YB crystal. Values from VASP.

## Properties
Total magnetic moment, μB/f.u.: 0.000

Geometry as Quantum ESPRESSO input:
```
&SYSTEM
  ibrav = 0, nat = 8, ntyp = 2
/
ATOMIC_SPECIES
Y 88.91 Y.upf
B 10.81 B.upf
CELL_PARAMETERS angstrom
0.0000 4.3261 5.1434
3.1634 0.0000 5.1434
3.1634 4.3261 0.0000
ATOMIC_POSITIONS crystal
Y 0.0840 0.6660 0.0840
Y 0.3340 0.9160 0.3340
Y 0.6660 0.0840 0.6660
Y 0.9160 0.3340 0.9160
B 0.2464 0.5036 0.5036
B 0.4964 0.7536 0.7536
B 0.5036 0.2464 0.2464
B 0.7536 0.4964 0.4964
```

=====

Decreasing stability: *x*, *w*

=====

*w*
The following is a DFT calculation (PBE-GGA) of a relaxed YB crystal. Values from VASP.

## Properties
Total magnetic moment, μB/f.u.: 0.000

Geometry as Quantum ESPRESSO input:
```
&SYSTEM
  ibrav = 0, nat = 2, ntyp = 2
/
ATOMIC_SPECIES
Y 88.91 Y.upf
B 10.81 B.upf
CELL_PARAMETERS angstrom
3.2208 0.0000 0.0000
0.0000 3.2208 0.0000
0.0000 0.0000 3.2208
ATOMIC_POSITIONS crystal
Y 0.0000 0.0000 0.0000
B 0.5000 0.5000 0.5000
```

=====

*x*
The following is a DFT calculation (PBE-GGA) of a relaxed YB crystal. Values from VASP.

## Properties
Total magnetic moment, μB/f.u.: 0.000

Geometry as Quantum ESPRESSO input:
```
&SYSTEM
  ibrav = 0, nat = 8, ntyp = 2
/
ATOMIC_SPECIES
Y 88.91 Y.upf
B 10.81 B.upf
CELL_PARAMETERS angstrom
-3.6896 3.6896 3.6896
3.6896 -3.6896 3.6896
3.6896 3.6896 -3.6896
ATOMIC_POSITIONS crystal
Y 0.0000 0.0000 0.4182
Y 0.0000 0.4182 0.0000
Y 0.4182 0.0000 0.0000
Y 0.5818 0.5818 0.5818
B 0.0000 0.0000 0.8341
B 0.0000 0.8341 0.0000
B 0.1659 0.1659 0.1659
B 0.8341 0.0000 0.0000
```

=====

Decreasing stability: *x*, *w*

=====

*w*
The following is a DFT calculation (PBE-GGA) of a relaxed YB crystal. Values from VASP.

## Properties
Total magnetic moment, μB/f.u.: 0.000

Geometry as Quantum ESPRESSO input:
```
&SYSTEM
  ibrav = 0, nat = 16, ntyp = 2
/
ATOMIC_SPECIES
Y 88.91 Y.upf
B 10.81 B.upf
CELL_PARAMETERS angstrom
7.4845 0.0000 0.0000
0.0000 5.8193 0.0000
0.0000 0.0000 6.7337
ATOMIC_POSITIONS crystal
Y 0.0910 0.2500 0.1929
Y 0.1988 0.2500 0.6967
Y 0.3012 0.7500 0.1967
Y 0.4090 0.7500 0.6929
Y 0.5910 0.2500 0.3071
Y 0.6988 0.2500 0.8033
Y 0.8012 0.7500 0.3033
Y 0.9090 0.7500 0.8071
B 0.0800 0.6028 0.4904
B 0.0800 0.8972 0.4904
B 0.4200 0.1028 0.9904
B 0.4200 0.3972 0.9904
B 0.5800 0.6028 0.0096
B 0.5800 0.8972 0.0096
B 0.9200 0.1028 0.5096
B 0.9200 0.3972 0.5096
```

=====

*x*
The following is a DFT calculation (PBE-GGA) of a relaxed YB crystal. Values from VASP.

## Properties
Total magnetic moment, μB/f.u.: 0.631

Geometry as Quantum ESPRESSO input:
```
&SYSTEM
  ibrav = 0, nat = 2, ntyp = 2
/
ATOMIC_SPECIES
Y 88.91 Y.upf
B 10.81 B.upf
CELL_PARAMETERS angstrom
0.0000 2.6782 2.6782
2.6782 0.0000 2.6782
2.6782 2.6782 0.0000
ATOMIC_POSITIONS crystal
Y 0.0000 0.0000 0.0000
B 0.5000 0.5000 0.5000
```

=====

Decreasing stability: *w*, *x*

=====

*w*
The following is a DFT calculation (PBE-GGA) of a relaxed YB4 crystal. Values from VASP.

## Properties
Total magnetic moment, μB/f.u.: 0.168

Geometry as Quantum ESPRESSO input:
```
&SYSTEM
  ibrav = 0, nat = 5, ntyp = 2
/
ATOMIC_SPECIES
Y 88.91 Y.upf
B 10.81 B.upf
CELL_PARAMETERS angstrom
4.7647 0.0000 0.0000
0.0000 4.7647 0.0000
0.0000 0.0000 4.7647
ATOMIC_POSITIONS crystal
Y 0.0000 0.0000 0.0000
B 0.0000 0.0000 0.5000
B 0.0000 0.5000 0.0000
B 0.5000 0.0000 0.0000
B 0.5000 0.5000 0.5000
```

=====

*x*
The following is a DFT calculation (PBE-GGA) of a relaxed YB4 crystal. Values from VASP.

## Properties
Total magnetic moment, μB/f.u.: 0.000

Geometry as Quantum ESPRESSO input:
```
&SYSTEM
  ibrav = 0, nat = 20, ntyp = 2
/
ATOMIC_SPECIES
Y 88.91 Y.upf
B 10.81 B.upf
CELL_PARAMETERS angstrom
7.1141 0.0000 0.0000
0.0000 7.1141 0.0000
0.0000 0.0000 4.0253
ATOMIC_POSITIONS crystal
Y 0.1816 0.3184 0.0000
Y 0.3184 0.8184 0.0000
Y 0.6816 0.1816 0.0000
Y 0.8184 0.6816 0.0000
B 0.0000 0.0000 0.2035
B 0.0000 0.0000 0.7965
B 0.0387 0.8239 0.5000
B 0.0870 0.5870 0.5000
B 0.1761 0.0387 0.5000
B 0.3239 0.5387 0.5000
B 0.4130 0.0870 0.5000
B 0.4613 0.3239 0.5000
B 0.5000 0.5000 0.2035
B 0.5000 0.5000 0.7965
B 0.5387 0.6761 0.5000
B 0.5870 0.9130 0.5000
B 0.6761 0.4613 0.5000
B 0.8239 0.9613 0.5000
B 0.9130 0.4130 0.5000
B 0.9613 0.1761 0.5000
```

=====

Decreasing stability: *x*, *w*

=====

*w*
The following is a DFT calculation (PBE-GGA) of a relaxed YZnB3 crystal. Values from VASP.

## Properties
Total magnetic moment, μB/f.u.: 0.000

Geometry as Quantum ESPRESSO input:
```
&SYSTEM
  ibrav = 0, nat = 5, ntyp = 3
/
ATOMIC_SPECIES
Y 88.91 Y.upf
Zn 65.41 Zn.upf
B 10.81 B.upf
CELL_PARAMETERS angstrom
4.6800 0.0000 0.0000
0.0000 4.6800 0.0000
0.0000 0.0000 4.6800
ATOMIC_POSITIONS crystal
Y 0.0000 0.0000 0.0000
Zn 0.5000 0.5000 0.5000
B 0.0000 0.0000 0.5000
B 0.0000 0.5000 0.0000
B 0.5000 0.0000 0.0000
```

=====

*x*
The following is a DFT calculation (PBE-GGA) of a relaxed YZnB3 crystal. Values from VASP.

## Properties
Total magnetic moment, μB/f.u.: 0.000

Geometry as Quantum ESPRESSO input:
```
&SYSTEM
  ibrav = 0, nat = 5, ntyp = 3
/
ATOMIC_SPECIES
Y 88.91 Y.upf
Zn 65.41 Zn.upf
B 10.81 B.upf
CELL_PARAMETERS angstrom
4.0720 0.0000 0.0000
0.0000 4.0720 0.0000
0.0000 0.0000 4.0720
ATOMIC_POSITIONS crystal
Y 0.0000 0.0000 0.0000
Zn 0.5000 0.5000 0.5000
B 0.0000 0.5000 0.5000
B 0.5000 0.0000 0.5000
B 0.5000 0.5000 0.0000
```

=====

Decreasing stability: *x*, *w*